# 1
VASP calculation (PBE-GGA) on an optimized crystal structure of KRhAu.

## Properties
D(E_F) = 2.6 states/eV/f.u.
Formation energy from the elements = 0.488 eV per atom
Calculated total energy = -3.42 eV per atom
Size of the total moment = 0.3311 μB/atom
Distance to the lowest polymorph of the same formula = 0.85 eV per formula unit

CIF file:
```
data_KRhAu
_space_group_name_H-M_alt 'P -6 m 2'
_space_group_IT_number 187
_space_group_name_Hall 'P -6 2'
_cell_length_a 5.1098
_cell_length_b 5.1098
_cell_length_c 2.8241
_cell_angle_alpha 90.00
_cell_angle_beta 90.00
_cell_angle_gamma 120.00
loop_
_atom_site_label
_atom_site_fract_x
_atom_site_fract_y
_atom_site_fract_z
_atom_site_occupancy
K1 0.0000 0.0000 0.0000 1
Rh1 0.6667 0.3333 0.5000 1
Au1 0.3333 0.6667 0.5000 1
```

=====

# 2
VASP calculation (PBE-GGA) on an optimized crystal structure of TlIn3Ni.

## Properties
D(E_F) = 6.8 states/eV/f.u.
Formation energy from the elements = 1.058 eV per atom
Calculated total energy = -2.22 eV per atom
Size of the total moment = 0.0000 μB/atom
Distance to the lowest polymorph of the same formula = 5.39 eV per formula unit

CIF file:
```
data_TlIn3Ni
_space_group_name_H-M_alt 'P m -3 m'
_space_group_IT_number 221
_space_group_name_Hall '-P 4 2 3'
_cell_length_a 5.692
_cell_length_b 5.692
_cell_length_c 5.692
_cell_angle_alpha 90.00
_cell_angle_beta 90.00
_cell_angle_gamma 90.00
loop_
_atom_site_label
_atom_site_fract_x
_atom_site_fract_y
_atom_site_fract_z
_atom_site_occupancy
Tl1 0.000 0.000 0.000 1
In1 0.000 0.000 0.500 1
Ni1 0.500 0.500 0.500 1
```

=====

# 3
VASP calculation (PBE-GGA) on an optimized crystal structure of ScCo4.

## Properties
D(E_F) = 8.1 states/eV/f.u.
Formation energy from the elements = 1.525 eV per atom
Calculated total energy = -5.43 eV per atom
Size of the total moment = 0.9911 μB/atom
Distance to the lowest polymorph of the same formula = 7.88 eV per formula unit

CIF file:
```
data_ScCo4
_space_group_name_H-M_alt 'P m -3 m'
_space_group_IT_number 221
_space_group_name_Hall '-P 4 2 3'
_cell_length_a 4.306
_cell_length_b 4.306
_cell_length_c 4.306
_cell_angle_alpha 90.00
_cell_angle_beta 90.00
_cell_angle_gamma 90.00
loop_
_atom_site_label
_atom_site_fract_x
_atom_site_fract_y
_atom_site_fract_z
_atom_site_occupancy
Sc1 0.000 0.000 0.000 1
Co1 0.000 0.000 0.500 1
Co2 0.500 0.500 0.500 1
```

=====

# 4
VASP calculation (PBE-GGA) on an optimized crystal structure of CoTcTe6.

## Properties
D(E_F) = 4.4 states/eV/f.u.
Calculated total energy = -4.61 eV per atom
Size of the total moment = 0.0000 μB/atom
Formation energy from raw total energies = -0.071 eV per atom

CIF file:
```
data_CoTcTe6
_space_group_name_H-M_alt 'P -1'
_space_group_IT_number 2
_cell_length_a 6.482
_cell_length_b 6.514
_cell_length_c 6.548
_cell_angle_alpha 60.89
_cell_angle_beta 89.16
_cell_angle_gamma 60.45
loop_
_space_group_symop_operation_xyz
'x,y,z'
'-x,-y,-z'
loop_
_atom_site_label
_atom_site_fract_x
_atom_site_fract_y
_atom_site_fract_z
_atom_site_occupancy
Co1 0.000 0.000 0.000 1
Tc1 0.500 0.000 0.500 1
Te1 0.214 0.848 0.423 1
Te2 0.268 0.504 0.078 1
Te3 0.272 0.164 0.784 1
```

=====

# 5
VASP calculation (PBE-GGA) on an optimized crystal structure of ZnCdIn2.

## Properties
D(E_F) = 1.5 states/eV/f.u.
Formation energy from the elements = 0.106 eV per atom
Calculated total energy = -1.81 eV per atom
Size of the total moment = 0.0000 μB/atom
Distance to the lowest polymorph of the same formula = 0.20 eV per formula unit

CIF file:
```
data_ZnCdIn2
_space_group_name_H-M_alt 'I m m m'
_space_group_IT_number 71
_space_group_name_Hall '-I 2 2'
_cell_length_a 3.623
_cell_length_b 5.385
_cell_length_c 9.830
_cell_angle_alpha 90.00
_cell_angle_beta 90.00
_cell_angle_gamma 90.00
loop_
_atom_site_label
_atom_site_fract_x
_atom_site_fract_y
_atom_site_fract_z
_atom_site_occupancy
Zn1 0.000 0.000 0.000 1
Cd1 0.000 0.000 0.500 1
In1 0.000 0.500 0.268 1
```

=====

# 6
VASP calculation (PBE-GGA) on an optimized crystal structure of Sr2TaTl.

## Properties
D(E_F) = 5.0 states/eV/f.u.
Formation energy from the elements = 0.797 eV per atom
Calculated total energy = -3.60 eV per atom
Size of the total moment = 0.1728 μB/atom
Distance to the lowest polymorph of the same formula = 1.07 eV per formula unit

CIF file:
```
data_Sr2TaTl
_space_group_name_H-M_alt 'P 1 2/m 1'
_space_group_IT_number 10
_cell_length_a 6.061
_cell_length_b 3.381
_cell_length_c 6.352
_cell_angle_alpha 90.00
_cell_angle_beta 112.21
_cell_angle_gamma 90.00
loop_
_space_group_symop_operation_xyz
'x,y,z'
'-x,-y,-z'
'-x,y,-z'
'x,-y,z'
loop_
_atom_site_label
_atom_site_fract_x
_atom_site_fract_y
_atom_site_fract_z
_atom_site_occupancy
Sr1 0.000 0.000 0.000 1
Sr2 0.000 0.500 0.500 1
Ta1 0.500 0.000 0.500 1
Tl1 0.500 0.500 0.000 1
```

=====

# 7
VASP calculation (PBE-GGA) on an optimized crystal structure of NdSmTm2Sb4.

## Properties
D(E_F) = 1.1 states/eV/f.u.
Calculated total energy = -5.49 eV per atom
Size of the total moment = 0.0000 μB/atom
Formation energy from raw total energies = -1.121 eV per atom

CIF file:
```
data_NdSmTm2Sb4
_space_group_name_H-M_alt 'P 1 2/m 1'
_space_group_IT_number 10
_cell_length_a 7.644
_cell_length_b 4.424
_cell_length_c 7.657
_cell_angle_alpha 90.00
_cell_angle_beta 109.51
_cell_angle_gamma 90.00
loop_
_space_group_symop_operation_xyz
'x,y,z'
'-x,-y,-z'
'-x,y,-z'
'x,-y,z'
loop_
_atom_site_label
_atom_site_fract_x
_atom_site_fract_y
_atom_site_fract_z
_atom_site_occupancy
Nd1 0.000 0.000 0.000 1
Sm1 0.000 0.500 0.500 1
Tm1 0.500 0.000 0.500 1
Tm2 0.500 0.500 0.000 1
Sb1 0.260 0.000 0.752 1
Sb2 0.261 0.500 0.255 1
```

=====

# 8
VASP calculation (PBE-GGA) on an optimized crystal structure of Ca2TlCuN.

## Properties
D(E_F) = 4.0 states/eV/f.u.
Calculated total energy = -4.10 eV per atom
Size of the total moment = 0.0000 μB/atom
Formation energy from raw total energies = -0.344 eV per atom

CIF file:
```
data_Ca2TlCuN
_space_group_name_H-M_alt 'P 4/m m m'
_space_group_IT_number 123
_space_group_name_Hall '-P 4 2'
_cell_length_a 5.071
_cell_length_b 5.071
_cell_length_c 3.913
_cell_angle_alpha 90.00
_cell_angle_beta 90.00
_cell_angle_gamma 90.00
loop_
_atom_site_label
_atom_site_fract_x
_atom_site_fract_y
_atom_site_fract_z
_atom_site_occupancy
Ca1 0.000 0.500 0.000 1
Tl1 0.000 0.000 0.500 1
Cu1 0.500 0.500 0.500 1
N1 0.500 0.500 0.000 1
```

=====

# 9
VASP calculation (PBE-GGA) on an optimized crystal structure of TmZrIn2.

## Properties
D(E_F) = 3.9 states/eV/f.u.
Formation energy from the elements = -0.319 eV per atom
Calculated total energy = -4.94 eV per atom
Size of the total moment = 0.0007 μB/atom

CIF file:
```
data_TmZrIn2
_space_group_name_H-M_alt 'P 4/m m m'
_space_group_IT_number 123
_space_group_name_Hall '-P 4 2'
_cell_length_a 4.657
_cell_length_b 4.657
_cell_length_c 4.368
_cell_angle_alpha 90.00
_cell_angle_beta 90.00
_cell_angle_gamma 90.00
loop_
_atom_site_label
_atom_site_fract_x
_atom_site_fract_y
_atom_site_fract_z
_atom_site_occupancy
Tm1 0.000 0.000 0.000 1
Zr1 0.500 0.500 0.000 1
In1 0.000 0.500 0.500 1
```

=====

# 10
VASP calculation (PBE-GGA) on an optimized crystal structure of TbNdDy4S8.

## Properties
D(E_F) = 8.4 states/eV/f.u.
Calculated total energy = -6.27 eV per atom
Size of the total moment = 0.0000 μB/atom
Formation energy from raw total energies = -1.929 eV per atom

CIF file:
```
data_TbNdDy4S8
_space_group_name_H-M_alt 'R 3 m'
_space_group_IT_number 160
_space_group_name_Hall 'R 3 -2"'
_cell_length_a 8.0981
_cell_length_b 8.0981
_cell_length_c 19.8672
_cell_angle_alpha 90.00
_cell_angle_beta 90.00
_cell_angle_gamma 120.00
loop_
_atom_site_label
_atom_site_fract_x
_atom_site_fract_y
_atom_site_fract_z
_atom_site_occupancy
Tb1 0.0000 0.0000 0.0000 1
Nd1 0.0000 0.0000 0.3753 1
Dy1 0.0000 0.0000 0.6258 1
Dy2 0.0019 0.5009 0.5009 1
S1 0.0000 0.0000 0.2394 1
S2 0.0000 0.0000 0.7578 1
S3 0.0284 0.5142 0.7548 1
S4 0.1756 0.3512 0.5812 1
```

=====

# 11
VASP calculation (PBE-GGA) on an optimized crystal structure of Th2ScGe4Rh3.

## Properties
D(E_F) = 7.1 states/eV/f.u.
Formation energy from the elements = -0.858 eV per atom
Calculated total energy = -7.03 eV per atom
Size of the total moment = 0.0000 μB/atom

CIF file:
```
data_Th2ScGe4Rh3
_space_group_name_H-M_alt 'P -4 m 2'
_space_group_IT_number 115
_cell_length_a 4.214
_cell_length_b 4.214
_cell_length_c 10.995
_cell_angle_alpha 90.00
_cell_angle_beta 90.00
_cell_angle_gamma 90.00
loop_
_space_group_symop_operation_xyz
'x,y,z'
'y,-x,-z'
'-x,-y,z'
'-y,x,-z'
'-x,y,z'
'-y,-x,-z'
'x,-y,z'
'y,x,-z'
loop_
_atom_site_label
_atom_site_fract_x
_atom_site_fract_y
_atom_site_fract_z
_atom_site_occupancy
Th1 0.000 0.500 0.233 1
Sc1 0.000 0.000 0.500 1
Ge1 0.000 0.000 0.000 1
Ge2 0.000 0.500 0.653 1
Ge3 0.500 0.500 0.000 1
Rh1 0.000 0.500 0.878 1
Rh2 0.500 0.500 0.500 1
```